## CdGaP2O8 (PBE)

Data for crystalline CdGaP2O8 at its relaxed geometry.

Properties
As for the magnetization: 1.070 μB per formula unit. As for the raw formation energy: -19.59 eV per formula unit. The space group is I-4m2, No. 119.

abc: 5.653 5.653 5.653
angles: 105.34 105.34 118.10
Fractional positions:
Cd  0.250  0.750  0.500
Ga  0.000  0.000  0.000
P  0.750  0.250  0.500
P  0.500  0.500  0.000
O  0.409  0.093  0.317
O  0.321  0.490  0.169
O  0.321  0.152  0.831
O  0.776  0.093  0.683
O  0.848  0.679  0.169
O  0.907  0.224  0.317
O  0.907  0.591  0.683
O  0.510  0.679  0.831